No. 1
Density functional theory data (PBE+U) for a geometry-optimized Ca2Co9O13 structure.

POSCAR file:
```
Ca2Co9O13
1.0
1.493 4.940 0.028
-1.493 4.940 0.028
0.000 2.687 16.031
Co O Ca
9 13 2
Direct
0.947 0.947 0.878
0.651 0.651 0.961
0.994 0.994 0.337
0.500 0.500 0.500
0.053 0.053 0.122
0.243 0.243 0.420
0.349 0.349 0.039
0.006 0.006 0.663
0.757 0.757 0.580
0.123 0.123 0.542
0.102 0.102 0.229
0.877 0.877 0.458
0.000 0.000 0.000
0.379 0.379 0.316
0.621 0.621 0.684
0.689 0.689 0.083
0.898 0.898 0.771
0.427 0.427 0.143
0.573 0.573 0.857
0.390 0.390 0.625
0.610 0.610 0.375
0.311 0.311 0.917
0.774 0.774 0.230
0.226 0.226 0.770
```

Values from the calculation:
SG: C2/m (12)
Electronic total energy in eV per atom: -6.006
Magnetic moment in μB per atom: 0.624



No. 2
Density functional theory data (PBE+U) for a geometry-optimized Ca2CoO3 structure.

POSCAR file:
```
Ca2CoO3
1.0
-0.628 -3.256 0.434
2.183 -0.694 -2.436
5.839 -2.332 3.638
O Ca Co
3 2 1
Direct
0.500 0.500 0.000
0.156 0.156 0.687
0.844 0.844 0.313
0.340 0.340 0.320
0.660 0.660 0.680
0.000 0.000 0.000
```

Values from the calculation:
SG: Fmmm (69)
Electronic total energy in eV per atom: -6.219
E above lowest polymorph in eV per formula unit: 0.14
Magnetic moment in μB per atom: 0.497



No. 3
Density functional theory data (PBE+U) for a geometry-optimized Ca5CoO8 structure.

POSCAR file:
```
Ca5CoO8
1.0
-4.150 -4.589 -0.485
5.858 -1.974 -0.560
-1.221 2.377 5.602
Ca O Co
5 8 1
Direct
0.500 0.000 0.500
0.754 0.598 0.617
0.844 0.863 0.246
0.019 0.402 0.156
0.383 0.137 0.981
0.154 0.707 0.964
0.688 0.406 0.894
0.036 0.190 0.743
0.553 0.810 0.846
0.257 0.293 0.447
0.106 0.795 0.513
0.487 0.594 0.282
0.718 0.205 0.312
0.250 0.500 0.750
```

Values from the calculation:
SG: I-4 (82)
Electronic total energy in eV per atom: -5.978
Magnetic moment in μB per atom: 0.357



No. 4
Density functional theory data (PBE+U) for a geometry-optimized Ca3Co2O6 structure.

POSCAR file:
```
Ca3Co2O6
1.0
-0.243 3.367 -1.166
-7.929 -0.500 1.273
-1.549 3.463 5.119
Co O Ca
2 6 3
Direct
0.266 0.569 0.422
0.148 0.147 0.508
0.434 0.151 0.222
0.230 0.538 0.722
0.154 0.121 0.809
0.445 0.763 0.163
0.856 0.915 0.596
0.987 0.378 0.431
0.247 0.789 0.824
0.631 0.317 0.838
0.908 0.964 0.216
```

Values from the calculation:
SG: P1 (1)
Electronic total energy in eV per atom: -6.164
E above lowest polymorph in eV per formula unit: 0.83
Magnetic moment in μB per atom: 0.001



No. 5
Density functional theory data (PBE+U) for a geometry-optimized CaCo2O4 structure.

POSCAR file:
```
CaCo2O4
1.0
5.270 0.000 0.000
0.000 5.762 0.000
0.000 0.000 11.023
O Ca Co
16 4 8
Direct
0.143 0.253 0.644
0.857 0.753 0.144
0.857 0.753 0.856
0.352 0.500 0.845
0.857 0.247 0.144
0.655 0.500 0.664
0.655 0.500 0.336
0.648 0.000 0.655
0.345 0.000 0.836
0.352 0.500 0.155
0.143 0.747 0.644
0.143 0.253 0.356
0.345 0.000 0.164
0.857 0.247 0.856
0.143 0.747 0.356
0.648 0.000 0.345
0.659 0.500 0.000
0.059 0.000 0.000
0.341 0.000 0.500
0.941 0.500 0.500
0.500 0.750 0.250
0.009 0.500 0.765
0.500 0.750 0.750
0.009 0.500 0.235
0.991 0.000 0.265
0.991 0.000 0.735
0.500 0.250 0.250
0.500 0.250 0.750
```

Values from the calculation:
SG: Pmmn (59)
Electronic total energy in eV per atom: -6.085
E above lowest polymorph in eV per formula unit: 0.27
Magnetic moment in μB per atom: 0.857



No. 6
Density functional theory data (PBE+U) for a geometry-optimized CaCo2O4 structure.

POSCAR file:
```
CaCo2O4
1.0
-4.933 1.455 -0.598
3.647 -1.316 3.431
2.676 9.384 0.754
O Ca Co
8 2 4
Direct
0.069 0.931 0.750
0.931 0.069 0.250
0.774 0.226 0.893
0.226 0.774 0.393
0.774 0.226 0.607
0.226 0.774 0.107
0.500 0.500 0.000
0.500 0.500 0.500
0.394 0.606 0.750
0.606 0.394 0.250
0.864 0.136 0.067
0.864 0.136 0.433
0.136 0.864 0.933
0.136 0.864 0.567
```

Values from the calculation:
SG: Cmcm (63)
Electronic total energy in eV per atom: -6.063
E above lowest polymorph in eV per formula unit: 0.42
Magnetic moment in μB per atom: 1.143



No. 7
Density functional theory data (PBE+U) for a geometry-optimized Ca2Co3O8 structure.

POSCAR file:
```
Ca2Co3O8
1.0
6.218 0.006 0.007
3.500 5.139 0.007
1.484 0.786 4.658
O Ca Co
8 2 3
Direct
0.878 0.317 0.612
0.683 0.122 0.388
0.604 0.604 0.033
0.317 0.878 0.612
0.122 0.683 0.388
0.096 0.096 0.096
0.396 0.396 0.967
0.904 0.904 0.904
0.277 0.277 0.671
0.723 0.723 0.329
0.000 0.000 0.500
0.744 0.256 0.000
0.256 0.744 0.000
```

Values from the calculation:
SG: C2/m (12)
Electronic total energy in eV per atom: -6.040
E above lowest polymorph in eV per formula unit: 0.00
Magnetic moment in μB per atom: 0.231



No. 8
Density functional theory data (PBE+U) for a geometry-optimized CaCo2O4 structure.

POSCAR file:
```
CaCo2O4
1.0
1.483 6.739 0.895
-1.483 6.739 0.895
0.000 6.205 8.809
Co Ca O
4 2 8
Direct
0.884 0.884 0.387
0.116 0.116 0.613
0.373 0.373 0.874
0.627 0.627 0.126
0.263 0.263 0.237
0.737 0.737 0.763
0.691 0.691 0.451
0.190 0.190 0.965
0.078 0.078 0.273
0.309 0.309 0.549
0.555 0.555 0.772
0.810 0.810 0.035
0.922 0.922 0.727
0.445 0.445 0.228
```

Values from the calculation:
SG: C2/m (12)
Electronic total energy in eV per atom: -6.063
E above lowest polymorph in eV per formula unit: 0.42
Magnetic moment in μB per atom: 0.285



No. 9
Density functional theory data (PBE+U) for a geometry-optimized CaCo2O4 structure.

POSCAR file:
```
CaCo2O4
1.0
-2.385 -0.979 1.404
2.800 -8.341 -1.060
5.080 0.559 9.017
O Co Ca
16 8 4
Direct
0.250 0.081 0.928
0.250 0.303 0.655
0.750 0.419 0.428
0.250 0.967 0.288
0.250 0.803 0.845
0.750 0.533 0.788
0.750 0.114 0.476
0.750 0.033 0.712
0.750 0.919 0.072
0.250 0.886 0.524
0.750 0.697 0.345
0.250 0.386 0.976
0.750 0.614 0.024
0.250 0.581 0.572
0.250 0.467 0.212
0.750 0.197 0.155
0.250 0.084 0.597
0.750 0.944 0.889
0.250 0.056 0.111
0.250 0.584 0.903
0.750 0.444 0.611
0.750 0.916 0.403
0.250 0.556 0.389
0.750 0.416 0.097
0.750 0.762 0.664
0.250 0.238 0.336
0.750 0.262 0.836
0.250 0.738 0.164
```

Values from the calculation:
SG: Pnma (62)
Electronic total energy in eV per atom: -6.123
E above lowest polymorph in eV per formula unit: 0.00
Magnetic moment in μB per atom: 0.000



No. 10
Density functional theory data (PBE+U) for a geometry-optimized Ca2CoO3 structure.

POSCAR file:
```
Ca2CoO3
1.0
-0.056 0.528 -3.207
2.135 -4.198 -0.728
-5.418 -0.343 1.686
O Ca Co
3 2 1
Direct
0.500 0.000 0.500
0.848 0.348 0.196
0.152 0.652 0.804
0.163 0.163 0.826
0.837 0.837 0.174
0.500 0.500 0.500
```

Values from the calculation:
SG: Immm (71)
Electronic total energy in eV per atom: -6.243
E above lowest polymorph in eV per formula unit: 0.00
Magnetic moment in μB per atom: 0.493



No. 11
Density functional theory data (PBE+U) for a geometry-optimized CaCo5O7 structure.

POSCAR file:
```
CaCo5O7
1.0
1.507 -4.961 0.000
1.507 4.961 0.000
0.000 0.000 17.910
Co O Ca
10 14 2
Direct
0.000 0.000 0.500
0.542 0.458 0.652
0.458 0.542 0.152
0.542 0.458 0.848
0.280 0.720 0.574
0.720 0.280 0.426
0.280 0.720 0.926
0.720 0.280 0.074
0.458 0.542 0.348
0.000 0.000 0.000
0.082 0.918 0.402
0.623 0.377 0.527
0.460 0.540 0.750
0.377 0.623 0.473
0.540 0.460 0.250
0.178 0.822 0.665
0.623 0.377 0.973
0.822 0.178 0.165
0.918 0.082 0.598
0.918 0.082 0.902
0.178 0.822 0.835
0.822 0.178 0.335
0.082 0.918 0.098
0.377 0.623 0.027
0.212 0.788 0.250
0.788 0.212 0.750
```

Values from the calculation:
SG: Cmcm (63)
Electronic total energy in eV per atom: -6.022
Magnetic moment in μB per atom: 0.843



No. 12
Density functional theory data (PBE+U) for a geometry-optimized CaCo2O4 structure.

POSCAR file:
```
CaCo2O4
1.0
6.746 0.027 0.239
6.070 2.942 0.239
5.168 1.197 7.529
O Co Ca
8 4 2
Direct
0.864 0.864 0.689
0.543 0.543 0.683
0.239 0.239 0.617
0.156 0.156 0.018
0.136 0.136 0.311
0.844 0.844 0.982
0.761 0.761 0.383
0.457 0.457 0.317
0.144 0.144 0.523
0.364 0.364 0.820
0.856 0.856 0.477
0.636 0.636 0.180
0.351 0.351 0.160
0.649 0.649 0.840
```

Values from the calculation:
SG: C2/m (12)
Electronic total energy in eV per atom: -5.903
E above lowest polymorph in eV per formula unit: 1.54
Magnetic moment in μB per atom: 0.000



No. 13
Density functional theory data (PBE+U) for a geometry-optimized CaCo2O4 structure.

POSCAR file:
```
CaCo2O4
1.0
6.016 0.000 0.000
3.008 5.210 0.000
3.008 1.737 4.912
O Co Ca
8 4 2
Direct
0.811 0.396 0.396
0.396 0.811 0.396
0.854 0.439 0.854
0.396 0.396 0.811
0.396 0.396 0.396
0.854 0.854 0.439
0.854 0.854 0.854
0.439 0.854 0.854
0.625 0.625 0.625
0.625 0.125 0.625
0.125 0.625 0.625
0.625 0.625 0.125
0.250 0.250 0.250
0.000 0.000 0.000
```

Values from the calculation:
SG: Fd-3m (227)
Electronic total energy in eV per atom: -6.074
E above lowest polymorph in eV per formula unit: 0.35
Magnetic moment in μB per atom: 0.009



No. 14
Density functional theory data (PBE+U) for a geometry-optimized CaCo2O4 structure.

POSCAR file:
```
CaCo2O4
1.0
-7.906 -5.433 2.381
1.901 -2.343 0.968
0.098 3.755 8.896
Ca Co O
4 8 16
Direct
0.602 0.716 0.252
0.102 0.284 0.252
0.398 0.716 0.752
0.898 0.284 0.752
0.862 0.764 0.434
0.860 0.743 0.071
0.138 0.764 0.934
0.360 0.257 0.071
0.640 0.257 0.571
0.362 0.236 0.434
0.638 0.236 0.934
0.140 0.743 0.571
0.275 0.247 0.607
0.429 0.221 0.248
0.725 0.247 0.107
0.273 0.194 0.895
0.071 0.779 0.748
0.227 0.806 0.395
0.727 0.194 0.395
0.773 0.806 0.895
0.775 0.753 0.607
0.497 0.639 0.494
0.503 0.639 0.994
0.003 0.361 0.994
0.225 0.753 0.107
0.997 0.361 0.494
0.571 0.221 0.748
0.929 0.779 0.248
```

Values from the calculation:
SG: Pca2_1 (29)
Electronic total energy in eV per atom: -6.077
E above lowest polymorph in eV per formula unit: 0.32
Magnetic moment in μB per atom: 0.857



No. 15
Density functional theory data (PBE+U) for a geometry-optimized CaCo2O4 structure.

POSCAR file:
```
CaCo2O4
1.0
6.046 -0.031 -0.036
-0.031 6.046 0.036
-2.992 -3.023 4.569
O Co Ca
8 4 2
Direct
0.732 0.215 0.996
0.281 0.265 0.496
0.241 0.195 0.967
0.268 0.785 0.004
0.719 0.735 0.504
0.272 0.726 0.467
0.759 0.805 0.033
0.728 0.274 0.533
0.500 0.000 0.000
0.500 0.500 0.500
0.859 0.109 0.750
0.141 0.891 0.250
0.000 0.500 0.500
0.500 0.500 0.000
```

Values from the calculation:
SG: C2/c (15)
Electronic total energy in eV per atom: -5.959
E above lowest polymorph in eV per formula unit: 1.15
Magnetic moment in μB per atom: 0.859



No. 16
Density functional theory data (PBE+U) for a geometry-optimized CaCoOs2O8 structure.

POSCAR file:
```
CaCoOs2O8
1.0
-2.508 3.549 1.998
-4.162 -2.071 -1.124
0.044 -3.085 5.530
O Ca Co Os
8 1 1 2
Direct
0.330 0.330 0.500
0.309 0.309 0.000
0.691 0.691 0.000
0.670 0.670 0.500
0.775 0.225 0.227
0.225 0.775 0.227
0.225 0.775 0.773
0.775 0.225 0.773
0.000 0.000 0.500
0.000 0.000 0.000
0.500 0.500 0.757
0.500 0.500 0.243
```

Values from the calculation:
SG: Cmmm (65)
Electronic total energy in eV per atom: -7.096
Magnetic moment in μB per atom: 0.199



No. 17
Density functional theory data (PBE+U) for a geometry-optimized CaCoOsO6 structure.

POSCAR file:
```
CaCoOsO6
1.0
-2.464 -1.164 4.273
-3.429 -3.732 0.011
3.604 -3.307 1.177
O Os Ca Co
6 1 1 1
Direct
0.377 0.624 0.292
0.624 0.999 0.292
0.377 0.999 0.708
0.624 0.377 0.708
0.999 0.377 0.292
0.999 0.624 0.708
0.333 0.333 0.500
0.000 0.000 0.000
0.667 0.667 0.500
```

Values from the calculation:
SG: P312 (149)
Electronic total energy in eV per atom: -6.780
Magnetic moment in μB per atom: 0.117